# Sb2S3O12, optimized geometry, DFT PBE-GGA
# Polymorph energy (0 for the lowest one) ... 25 meV/atom
# Crystal system ... monoclinic
# Size of the total moment ... 0.00 Bohr magnetons per cell
# Uncorrected formation energy ... -1.28 eV/atom
# Calculated volume ... 15.7 A^3/atom
# Electronic total energy ... -5.990 eV/atom
data_Sb2S3O12
_chemical_formula_sum 'Sb8 S12 O48'
_space_group_name_H-M_alt 'C 1 2/c 1'
_space_group_IT_number 15
_space_group_name_Hall '-C 2yc'
_cell_length_a 16.671
_cell_length_b 7.909
_cell_length_c 9.803
_cell_angle_alpha 90.00
_cell_angle_beta 124.29
_cell_angle_gamma 90.00
loop_
_atom_site_label
_atom_site_type_symbol
_atom_site_fract_x
_atom_site_fract_y
_atom_site_fract_z
_atom_site_occupancy
Sb1 Sb 0.122 0.250 0.176 1
S1 S 0.000 0.082 0.750 1
S2 S 0.121 0.348 0.515 1
O1 O 0.011 0.361 0.411 1
O2 O 0.050 0.192 0.898 1
O3 O 0.073 0.027 0.250 1
O4 O 0.153 0.377 0.401 1
O5 O 0.157 0.191 0.605 1
O6 O 0.159 0.496 0.631 1